1.
LaAsW: relaxed, GGA-PBE.

- Energy relative to the elements: -0.08 eV per atom
- DFT total energy: -7.588 eV per atom
- Offset from the most stable computed form: 0.033 eV/atom

Unit cell a=4.358 b=4.358 c=4.269 alpha=90.00 beta=90.00 gamma=120.00
Fractional coordinates of all 3 atoms:
La  0.000  0.000  0.000
As  0.333  0.667  0.500
W  0.667  0.333  0.500

***

2.
CrNi2Sb: relaxed, GGA-PBE.

- DFT total energy: -6.146 eV per atom

Unit cell a=3.284 b=3.284 c=5.323 alpha=90.00 beta=90.00 gamma=90.00
Fractional coordinates of all 4 atoms:
Cr  0.000  0.000  0.000
Ni  0.000  0.000  0.462
Ni  0.500  0.500  0.220
Sb  0.500  0.500  0.705

***

3.
LiTePb2: relaxed, GGA-PBE.

- DFT total energy: -3.297 eV per atom

Unit cell a=5.249 b=5.249 c=4.136 alpha=90.00 beta=90.00 gamma=90.00
Fractional coordinates of all 4 atoms:
Li  0.000  0.000  0.000
Te  0.500  0.500  0.000
Pb  0.000  0.500  0.500
Pb  0.500  0.000  0.500

***

4.
Sr3Hg5Pd6: relaxed, GGA-PBE.

- Energy relative to the elements: -0.50 eV per atom
- DFT total energy: -3.191 eV per atom

Unit cell a=8.813 b=8.813 c=8.813 alpha=149.40 beta=110.43 gamma=77.89
Fractional coordinates of all 14 atoms:
Sr  0.000  0.000  0.000
Sr  0.323  0.323  0.000
Sr  0.677  0.677  0.000
Hg  0.031  0.682  0.349
Hg  0.334  0.682  0.651
Hg  0.500  0.000  0.500
Hg  0.666  0.318  0.349
Hg  0.969  0.318  0.651
Pd  0.161  0.889  0.272
Pd  0.292  0.500  0.792
Pd  0.384  0.111  0.272
Pd  0.616  0.889  0.728
Pd  0.708  0.500  0.208
Pd  0.839  0.111  0.728

***

5.
CdTe2As: relaxed, GGA-PBE.

- DFT total energy: -3.044 eV per atom
- Offset from the most stable computed form: 0.000 eV/atom

Unit cell a=4.252 b=4.252 c=6.054 alpha=90.00 beta=90.00 gamma=90.00
Fractional coordinates of all 4 atoms:
Cd  0.000  0.000  0.000
Te  0.000  0.000  0.500
Te  0.500  0.500  0.000
As  0.500  0.500  0.500

***

6.
LiLa2TlNi: relaxed, GGA-PBE.

- Energy relative to the elements: -0.10 eV per atom
- DFT total energy: -4.088 eV per atom
- Offset from the most stable computed form: 0.095 eV/atom

Unit cell a=5.424 b=5.424 c=5.052 alpha=90.00 beta=90.00 gamma=90.00
Fractional coordinates of all 5 atoms:
Li  0.000  0.000  0.000
La  0.000  0.500  0.500
La  0.500  0.000  0.500
Tl  0.500  0.500  0.000
Ni  0.500  0.500  0.500

***

7.
RbNaLiCa: relaxed, GGA-PBE.

- Energy relative to the elements: 0.18 eV per atom
- DFT total energy: -1.370 eV per atom

Unit cell a=8.912 b=8.912 c=8.912 alpha=90.00 beta=90.00 gamma=90.00
Fractional coordinates of all 16 atoms:
Rb  0.000  0.000  0.000
Rb  0.000  0.500  0.500
Rb  0.500  0.000  0.500
Rb  0.500  0.500  0.000
Na  0.250  0.250  0.750
Na  0.250  0.750  0.250
Na  0.750  0.250  0.250
Na  0.750  0.750  0.750
Li  0.250  0.250  0.250
Li  0.250  0.750  0.750
Li  0.750  0.250  0.750
Li  0.750  0.750  0.250
Ca  0.000  0.000  0.500
Ca  0.000  0.500  0.000
Ca  0.500  0.000  0.000
Ca  0.500  0.500  0.500

***

8.
ZnHgTe2: relaxed, GGA-PBE.

- DFT total energy: -2.116 eV per atom

Unit cell a=4.428 b=4.428 c=7.400 alpha=90.00 beta=90.00 gamma=120.00
Fractional coordinates of all 4 atoms:
Zn  0.000  0.000  0.000
Hg  0.333  0.667  0.501
Te  0.333  0.667  0.890
Te  0.667  0.333  0.328